! Sr2GaSnP | Alexandria via LeMat-Bulk | PBE | relaxed; values from VASP
! E_tot: -3.9172 eV per atom
! magnetic moment: 0.0 μB/cell
! crystal system: monoclinic
! Fermi-level density of states: 1.07 states/eV per cell
&SYSTEM
  ibrav = 0, nat = 10, ntyp = 4
/
ATOMIC_SPECIES
Sr 87.62 Sr.upf
Ga 69.72 Ga.upf
Sn 118.71 Sn.upf
P 30.97 P.upf
CELL_PARAMETERS angstrom
7.614 0.000 0.000
0.000 4.473 0.000
-2.835 0.000 9.113
ATOMIC_POSITIONS angstrom
Sr 0.342 1.118 3.592
Sr -1.004 1.118 8.892
Sr 5.783 3.355 0.222
Sr 4.438 3.355 5.522
Ga 2.958 3.355 2.387
Ga 1.822 1.118 6.727
Sn 0.360 3.355 6.372
Sn 4.419 1.118 2.742
P 0.791 3.355 1.600
P 3.989 1.118 7.513